1.
Cs3NaHg7 after structural relaxation. Source: Alexandria via LeMat-Bulk, functional GGA-PBE.

Cell lengths 4.7007, 12.5209, 15.6502 Å; angles 90.00, 90.00, 100.82 degrees
Element x y z (fractional)
Cs: 0.2451 0.4902 0.7500
Cs: 0.8895 0.7790 0.5479
Cs: 0.1105 0.2210 0.0479
Cs: 0.8895 0.7790 0.9521
Cs: 0.7549 0.5098 0.2500
Cs: 0.1105 0.2210 0.4521
Hg: 0.4908 0.9815 0.4023
Hg: 0.7278 0.4557 0.5504
Hg: 0.4908 0.9815 0.0977
Hg: 0.2722 0.5443 0.4496
Hg: 0.5092 0.0185 0.5977
Hg: 0.5092 0.0185 0.9023
Hg: 0.5683 0.1366 0.2500
Hg: 0.4317 0.8634 0.7500
Hg: 0.7278 0.4557 0.9496
Hg: 0.3751 0.7503 0.3438
Hg: 0.6249 0.2497 0.6562
Hg: 0.3751 0.7503 0.1562
Hg: 0.2722 0.5443 0.0504
Hg: 0.6249 0.2497 0.8438
Na: 0.0414 0.0829 0.7500
Na: 0.9586 0.9171 0.2500

2.
HfH2Pd2 after structural relaxation. Source: Alexandria via LeMat-Bulk, functional GGA-PBE.

Cell lengths 3.6083, 3.6083, 5.0257 Å; angles 68.96, 68.96, 90.00 degrees
Element x y z (fractional)
Pd: 0.3358 0.3358 0.3285
Pd: 0.6642 0.6642 0.6715
H: 0.2500 0.7500 0.5000
H: 0.7500 0.2500 0.5000
Hf: 0.0000 0.0000 0.0000

## Properties
- Energy above the lowest structure with this stoichiometry: 2 meV per atom

3.
CaBeVB2 after structural relaxation. Source: Alexandria via LeMat-Bulk, functional GGA-PBE.

Cell lengths 4.4812, 4.4216, 4.4812 Å; angles 90.00, 90.00, 90.00 degrees
Element x y z (fractional)
V: 0.0000 0.5000 0.0000
B: 0.5000 0.0000 0.0000
B: 0.0000 0.0000 0.5000
Be: 0.5000 0.5000 0.5000
Ca: 0.0000 0.0000 0.0000

4.
Ce4Ru2Au after structural relaxation. Source: Alexandria via LeMat-Bulk, functional GGA-PBE.

Cell lengths 7.5899, 7.5918, 7.5894 Å; angles 108.18, 108.17, 112.05 degrees
Element x y z (fractional)
Au: 0.2495 0.7501 0.4998
Au: 0.9998 0.9995 0.9996
Ce: 0.9803 0.2372 0.3792
Ce: 0.3919 0.5125 0.2432
Ce: 0.4871 0.7303 0.8794
Ce: 0.2694 0.1493 0.7572
Ce: 0.8509 0.6078 0.1198
Ce: 0.8579 0.6007 0.6199
Ce: 0.7621 0.1416 0.7430
Ce: 0.3992 0.0198 0.2573
Ru: 0.6248 0.2343 0.1094
Ru: 0.1259 0.5164 0.8912
Ru: 0.4847 0.3750 0.6096
Ru: 0.7664 0.8755 0.3913

5.
SmTmMgOs after structural relaxation. Source: Alexandria via LeMat-Bulk, functional GGA-PBE.

Cell lengths 3.4034, 3.4034, 8.5675 Å; angles 90.00, 90.00, 90.00 degrees
Element x y z (fractional)
Os: 0.0000 0.0000 0.5619
Tm: 0.5000 0.5000 0.3760
Sm: 0.5000 0.5000 0.7666
Mg: 0.0000 0.0000 0.0803

## Properties
- Energy above the lowest structure with this stoichiometry: 0 meV per atom

6.
NdY4Er4 after structural relaxation. Source: Alexandria via LeMat-Bulk, functional GGA-PBE.

Cell lengths 9.6177, 8.6689, 11.0166 Å; angles 87.05, 107.37, 137.08 degrees
Element x y z (fractional)
Nd: 0.9569 0.9204 0.2161
Nd: 0.0431 0.0796 0.7839
Y: 0.3666 0.0380 0.7910
Y: 0.6334 0.9620 0.2090
Y: 0.6335 0.6098 0.8797
Y: 0.7111 0.7304 0.4555
Y: 0.2947 0.6329 0.8746
Y: 0.2889 0.2696 0.5445
Y: 0.7053 0.3671 0.1254
Y: 0.3665 0.3902 0.1203
Er: 0.9531 0.2927 0.5393
Er: 0.0469 0.7073 0.4607
Er: 0.1495 0.8080 0.0399
Er: 0.8107 0.4718 0.7025
Er: 0.4873 0.1500 0.3716
Er: 0.5127 0.8500 0.6284
Er: 0.8505 0.1920 0.9601
Er: 0.1893 0.5282 0.2975

## Properties
- Energy above the lowest structure with this stoichiometry: 15 meV per atom

Uncorrected energy (eV/atom)
-0.7841, -5.7754, -2.7389, -6.9152, -5.6783, -5.3903
Magnetization (μB per cell)
0.0, 0.0, 0.0, 3.1, 0.0, 0.0